Material: Ba2RhAu
Method: DFT, PBE-GGA
State: optimized geometry

Values from the calculation:
- energy of formation from the pure elements (eV/atom) = -0.353
- space group = Pmmm
- D(E_F) (states/eV/cell) = 1.474
- calculated total energy (eV/atom) = -3.972
- spin magnetization (Bohr magnetons per cell) = 0.0

abc: 3.825 3.899 8.942
angles: 64.18 90.00 90.00
Fractional positions:
Rh: 0.500 0.250 0.250
Au: 0.500 0.750 0.750
Ba: 0.000 0.981 0.019
Ba: 0.000 0.519 0.481